No. 1
## BeInBr (PBE)

Data for BeInBr after structural relaxation.

Properties
Electronic total energy = -2.19 eV/atom

Unit cell a=4.8543 b=4.8543 c=4.8543 alpha=60.00 beta=60.00 gamma=60.00
Element x y z (fractional)
Be 0.0000 0.0000 0.0000
In 0.2500 0.2500 0.2500
Br 0.7500 0.7500 0.7500

---

No. 2
## Ga2Cu3Au8 (PBE)

Data for Ga2Cu3Au8 after structural relaxation.

Properties
Electronic total energy = -3.46 eV/atom

Unit cell a=6.9539 b=6.9539 c=5.2537 alpha=92.83 beta=92.83 gamma=63.87
Element x y z (fractional)
Ga 0.1923 0.1923 0.2662
Ga 0.8077 0.8077 0.7338
Cu 0.0000 0.0000 0.5000
Cu 0.1709 0.8291 0.0000
Cu 0.8291 0.1709 0.0000
Au 0.1841 0.1841 0.7831
Au 0.1944 0.5747 0.5736
Au 0.3915 0.3915 0.0837
Au 0.4253 0.8056 0.4264
Au 0.5747 0.1944 0.5736
Au 0.6085 0.6085 0.9163
Au 0.8056 0.4253 0.4264
Au 0.8159 0.8159 0.2169

---

No. 3
## Ac2CuBi4Rh3 (PBE)

Data for Ac2CuBi4Rh3 after structural relaxation.

Properties
Electronic total energy = -5.48 eV/atom

Unit cell a=4.8202 b=4.8202 c=10.7573 alpha=90.00 beta=90.00 gamma=90.00
Element x y z (fractional)
Ac 0.0000 0.5000 0.2380
Ac 0.5000 0.0000 0.7620
Cu 0.5000 0.5000 0.0000
Bi 0.0000 0.0000 0.5000
Bi 0.0000 0.5000 0.8753
Bi 0.5000 0.0000 0.1247
Bi 0.5000 0.5000 0.5000
Rh 0.0000 0.0000 0.0000
Rh 0.0000 0.5000 0.6255
Rh 0.5000 0.0000 0.3745

---

Q: Among the records above, which one has the lowest electronic total energy?
A: Ac2CuBi4Rh3